(1)
A relaxed CsCl3 crystal, computed with PBE-GGA.

The structure in POSCAR format:
```
CsCl3
1.0
-1.0239 -2.4888 4.4110
-3.1824 -4.8273 -3.4624
14.1542 0.9390 3.8155
Cs Cl
2 6
Cartesian
7.0795 -1.9804 2.0392
2.8683 -4.3966 2.7248
0.5973 -3.5034 -0.3248
9.3505 -2.8737 5.0889
5.2714 -4.2588 0.3340
4.6764 -2.1183 4.4301
9.9797 -4.6002 4.2608
-0.0319 -1.7769 0.5033
```

Summary:
The formation energy (no corrections) comes out at -0.91 eV per atom. As for the space group: P2_1/m.

---

(2)
A relaxed LaZr3Zn crystal, computed with PBE-GGA.

The structure in POSCAR format:
```
LaZr3Zn
1.0
5.1254 0.0000 0.0000
0.0000 5.1254 0.0000
0.0000 0.0000 5.1254
Zn Zr La
1 3 1
Cartesian
2.5627 2.5627 2.5627
0.0000 2.5627 0.0000
0.0000 0.0000 2.5627
2.5627 0.0000 0.0000
0.0000 0.0000 0.0000
```

Summary:
The energy above the most stable polymorph in this dataset comes out at 0.819 eV per atom. As for the space group: Pm-3m. The calculation puts the formation energy at 1.29 eV/atom.

---

(3)
A relaxed KRe2Rh crystal, computed with PBE-GGA.

The structure in POSCAR format:
```
KRe2Rh
1.0
-0.8238 -2.6697 0.0833
4.4246 -1.3958 -0.9761
1.0642 -0.1703 5.0673
K Re Rh
1 2 1
Cartesian
2.7444 -0.7830 2.0456
0.0000 0.0000 0.0000
1.8004 -2.0328 -0.4464
0.1202 -1.4200 2.5753
```

Summary:
The energy above the most stable polymorph in this dataset comes out at 0.710 eV per atom. As for the space group: Pmmm. The calculation puts the formation energy at 1.31 eV/atom.